## CaNdGa2Cu2 (PBE)

Data for crystalline CaNdGa2Cu2 at its relaxed geometry.

## Properties
- space group = P-3m1 (164)
- V (Å³ per atom) = 21.30
- magnetic moment (μB/atom) = 0.00

Unit cell a=4.3365 b=4.3365 c=7.8470 alpha=90.00 beta=90.00 gamma=120.00
Last column: nearest neighbours and their distance in Å.
Atoms (fractional coordinates):
1 Ca 0.0000 0.0000 0.0000  6 Cu 3.19, 6 Ga 3.21
2 Nd 0.0000 0.0000 0.5000  6 Ga 3.15, 6 Cu 3.17
3 Ga 0.3333 0.6667 0.7439  3 Cu 2.50
4 Ga 0.6667 0.3333 0.2561  3 Cu 2.50
5 Cu 0.3333 0.6667 0.2512  3 Ga 2.50
6 Cu 0.6667 0.3333 0.7488  3 Ga 2.50


## Ca2GaCu2Ni5 (PBE)

Data for crystalline Ca2GaCu2Ni5 at its relaxed geometry.

## Properties
- space group = P4/mbm (127)
- V (Å³ per atom) = 14.71
- magnetic moment (μB/atom) = 0.00

Unit cell a=8.9619 b=8.9619 c=3.6640 alpha=90.00 beta=90.00 gamma=90.00
Last column: nearest neighbours and their distance in Å.
Atoms (fractional coordinates):
1 Ca 0.1791 0.3209 0.0000  3 Cu 2.56-2.73
2 Ca 0.3209 0.8209 0.0000  3 Cu 2.56-2.73
3 Ca 0.6791 0.1791 0.0000  3 Cu 2.56-2.73
4 Ca 0.8209 0.6791 0.0000  3 Cu 2.56-2.73
5 Ga 0.0000 0.0000 0.0000  8 Ni 2.61
6 Ga 0.5000 0.5000 0.0000  8 Ni 2.61
7 Cu 0.1193 0.6193 0.0000  6 Ni 2.38-2.51, 1 Ca 2.56
8 Cu 0.3807 0.1193 0.0000  6 Ni 2.38-2.51, 1 Ca 2.56
9 Cu 0.6193 0.8807 0.0000  6 Ni 2.38-2.51, 1 Ca 2.56
10 Cu 0.8807 0.3807 0.0000  6 Ni 2.38-2.51, 1 Ca 2.56
11 Ni 0.0000 0.5000 0.5000  4 Cu 2.38
12 Ni 0.0563 0.7999 0.5000  2 Cu 2.51, 2 Ga 2.61, 3 Ni 2.63-2.73
13 Ni 0.2001 0.0563 0.5000  2 Cu 2.51, 2 Ga 2.61, 3 Ni 2.63-2.73
14 Ni 0.2999 0.5563 0.5000  2 Cu 2.51, 2 Ga 2.61, 3 Ni 2.63-2.73
15 Ni 0.4437 0.2999 0.5000  2 Cu 2.51, 2 Ga 2.61, 3 Ni 2.63-2.73
16 Ni 0.5000 0.0000 0.5000  4 Cu 2.38
17 Ni 0.5563 0.7001 0.5000  2 Cu 2.51, 2 Ga 2.61, 3 Ni 2.63-2.73
18 Ni 0.7001 0.4437 0.5000  2 Cu 2.51, 2 Ga 2.61, 3 Ni 2.63-2.73
19 Ni 0.7999 0.9437 0.5000  2 Cu 2.51, 2 Ga 2.61, 3 Ni 2.63-2.73
20 Ni 0.9437 0.2001 0.5000  2 Cu 2.51, 2 Ga 2.61, 3 Ni 2.63-2.73


## Ca2GaCu5Ni2 (PBE)

Data for crystalline Ca2GaCu5Ni2 at its relaxed geometry.

## Properties
- space group = P4/mbm (127)
- V (Å³ per atom) = 15.53
- magnetic moment (μB/atom) = 0.00

Unit cell a=9.2117 b=9.2117 c=3.6595 alpha=90.00 beta=90.00 gamma=90.00
Last column: nearest neighbours and their distance in Å.
Atoms (fractional coordinates):
1 Ca 0.1765 0.3235 0.0000  3 Ni 2.62-2.80, 2 Cu 2.94
2 Ca 0.3235 0.8235 0.0000  3 Ni 2.62-2.80, 2 Cu 2.94
3 Ca 0.6765 0.1765 0.0000  3 Ni 2.62-2.80, 2 Cu 2.94
4 Ca 0.8235 0.6765 0.0000  3 Ni 2.62-2.80, 2 Cu 2.94
5 Ga 0.0000 0.0000 0.0000  8 Cu 2.67
6 Ga 0.5000 0.5000 0.0000  8 Cu 2.67
7 Cu 0.0000 0.5000 0.5000  4 Ni 2.42
8 Cu 0.0583 0.7969 0.5000  2 Ni 2.51, 2 Ga 2.67, 3 Cu 2.75-2.79
9 Cu 0.2031 0.0583 0.5000  2 Ni 2.51, 2 Ga 2.67, 3 Cu 2.75-2.79
10 Cu 0.2969 0.5583 0.5000  2 Ni 2.51, 2 Ga 2.67, 3 Cu 2.75-2.79
11 Cu 0.4417 0.2969 0.5000  2 Ni 2.51, 2 Ga 2.67, 3 Cu 2.75-2.79
12 Cu 0.5000 0.0000 0.5000  4 Ni 2.42
13 Cu 0.5583 0.7031 0.5000  2 Ni 2.51, 2 Ga 2.67, 3 Cu 2.75-2.79
14 Cu 0.7031 0.4417 0.5000  2 Ni 2.51, 2 Ga 2.67, 3 Cu 2.75-2.79
15 Cu 0.7969 0.9417 0.5000  2 Ni 2.51, 2 Ga 2.67, 3 Cu 2.75-2.79
16 Cu 0.9417 0.2031 0.5000  2 Ni 2.51, 2 Ga 2.67, 3 Cu 2.75-2.79
17 Ni 0.1221 0.6221 0.0000  6 Cu 2.42-2.51, 1 Ca 2.62
18 Ni 0.3779 0.1221 0.0000  6 Cu 2.42-2.51, 1 Ca 2.62
19 Ni 0.6221 0.8779 0.0000  6 Cu 2.42-2.51, 1 Ca 2.62
20 Ni 0.8779 0.3779 0.0000  6 Cu 2.42-2.51, 1 Ca 2.62


## CaGaCuNi (PBE)

Data for crystalline CaGaCuNi at its relaxed geometry.

## Properties
- space group = R3m (160)
- V (Å³ per atom) = 18.80
- magnetic moment (μB/atom) = 0.00

Unit cell a=5.5109 b=5.5109 c=5.5109 alpha=44.65 beta=44.65 gamma=44.65
Last column: nearest neighbours and their distance in Å.
Atoms (fractional coordinates):
1 Ca 0.0000 0.0000 0.0000  1 Ni 2.83, 1 Cu 2.86
2 Ga 0.5097 0.5097 0.5097  3 Ni 2.43, 3 Cu 2.47
3 Cu 0.8073 0.8073 0.8073  3 Ga 2.47, 3 Ni 2.53
4 Ni 0.1903 0.1903 0.1903  3 Ga 2.43, 3 Cu 2.53


## Ca2Ga2CuNi5 (PBE)

Data for crystalline Ca2Ga2CuNi5 at its relaxed geometry.

## Properties
- space group = P4/mbm (127)
- V (Å³ per atom) = 15.18
- magnetic moment (μB/atom) = 0.00

Unit cell a=9.6154 b=9.6154 c=3.2845 alpha=90.00 beta=90.00 gamma=90.00
Last column: nearest neighbours and their distance in Å.
Atoms (fractional coordinates):
1 Ca 0.1737 0.3263 0.0000  3 Ga 2.71-2.92, 2 Ni 2.88
2 Ca 0.3263 0.8263 0.0000  3 Ga 2.71-2.92, 2 Ni 2.88
3 Ca 0.6737 0.1737 0.0000  3 Ga 2.71-2.92, 2 Ni 2.88
4 Ca 0.8263 0.6737 0.0000  3 Ga 2.71-2.92, 2 Ni 2.88
5 Ga 0.1268 0.6268 0.0000  6 Ni 2.38-2.47
6 Ga 0.3732 0.1268 0.0000  6 Ni 2.38-2.47
7 Ga 0.6268 0.8732 0.0000  6 Ni 2.38-2.47
8 Ga 0.8732 0.3732 0.0000  6 Ni 2.38-2.47
9 Cu 0.0000 0.0000 0.0000  8 Ni 2.55
10 Cu 0.5000 0.5000 0.0000  8 Ni 2.55
11 Ni 0.0000 0.5000 0.5000  4 Ga 2.38
12 Ni 0.0593 0.8058 0.5000  2 Ga 2.47, 2 Cu 2.55, 2 Ni 2.76
13 Ni 0.1942 0.0593 0.5000  2 Ga 2.47, 2 Cu 2.55, 2 Ni 2.76
14 Ni 0.3058 0.5593 0.5000  2 Ga 2.47, 2 Cu 2.55, 2 Ni 2.76
15 Ni 0.4407 0.3058 0.5000  2 Ga 2.47, 2 Cu 2.55, 2 Ni 2.76
16 Ni 0.5000 0.0000 0.5000  4 Ga 2.38
17 Ni 0.5593 0.6942 0.5000  2 Ga 2.47, 2 Cu 2.55, 2 Ni 2.76
18 Ni 0.6942 0.4407 0.5000  2 Ga 2.47, 2 Cu 2.55, 2 Ni 2.76
19 Ni 0.8058 0.9407 0.5000  2 Ga 2.47, 2 Cu 2.55, 2 Ni 2.76
20 Ni 0.9407 0.1942 0.5000  2 Ga 2.47, 2 Cu 2.55, 2 Ni 2.76


## Ca2Ga4CuNi3 (PBE)

Data for crystalline Ca2Ga4CuNi3 at its relaxed geometry.

## Properties
- space group = P-4m2 (115)
- V (Å³ per atom) = 17.25
- magnetic moment (μB/atom) = 0.00

Unit cell a=4.2440 b=4.2440 c=9.5754 alpha=90.00 beta=90.00 gamma=90.00
Last column: nearest neighbours and their distance in Å.
Atoms (fractional coordinates):
1 Ca 0.0000 0.5000 0.2452  6 Ni 3.16-3.24, 2 Cu 3.16, 8 Ga 3.21-3.23
2 Ca 0.5000 0.0000 0.7548  2 Cu 3.16, 6 Ni 3.16-3.24, 8 Ga 3.21-3.23
3 Ga 0.0000 0.0000 0.5000  4 Ni 2.44
4 Ga 0.0000 0.5000 0.8744  3 Ni 2.38-2.44, 2 Cu 2.44
5 Ga 0.5000 0.0000 0.1256  3 Ni 2.38-2.44, 2 Cu 2.44
6 Ga 0.5000 0.5000 0.5000  4 Ni 2.44
7 Cu 0.5000 0.5000 0.0000  4 Ga 2.44
8 Ni 0.0000 0.0000 0.0000  4 Ga 2.44
9 Ni 0.0000 0.5000 0.6260  5 Ga 2.38-2.44
10 Ni 0.5000 0.0000 0.3740  5 Ga 2.38-2.44


no.,electronic total energy (eV per atom)
1,-3.8990
2,-4.5113
3,-3.9927
4,-4.0597
5,-4.4525
6,-4.1643